TlZn2Ni: optimized geometry, PBE.

```
4
Lattice="5.024 -0.008 0.000 1.929 4.639 0.000 -3.476 -2.316 2.792" Properties=species:S:1:pos:R:3 pbc="T T T"
Zn 3.476 2.316 0.000
Tl 2.512 -0.004 1.396
Zn 0.000 0.000 0.000
Ni 0.964 2.320 1.396
```

Properties
For the energy above the most stable polymorph in this dataset, the calculation gives 0.136 eV per atom. Its energy relative to the elements is 0.194 eV per atom. As for the total magnetization: 0.00 Bohr magnetons per cell.